(1)
Below is a relaxed LaTi2Ni2 crystal, with properties calculated at the PBE-GGA level.

**Electronic total energy**: -6.56 eV per atom
**Calculated density**: 7.01 g/cm³
**Offset from the most stable computed form**: 146.9 meV/atom
**Magnetic moment**: 0.0 μB per formula unit
**N(E_F)**: 1.44 states/eV per atom
**ΔE_f**: -102 meV/atom

Cell: 7.5715 7.5715 2.9088 Å, 90.00 90.00 90.00°
Space group P4/mbm (No. 127)
One atom of each set of equivalent atoms:
La (0.0000, 0.0000, 0.0000) x2
Ti (0.1468, 0.3532, 0.0000) x4
Ni (0.1322, 0.6322, 0.5000) x4

=====

(2)
Below is a relaxed NaGa2HgAu crystal, with properties calculated at the PBE-GGA level.

**Electronic total energy**: -2.24 eV per atom
**Calculated density**: 6.81 g/cm³
**Magnetic moment**: 0.0 μB per formula unit
**N(E_F)**: 0.40 states/eV per atom
**ΔE_f**: -51 meV/atom

Cell: 4.9037 4.9037 5.6797 Å, 90.00 90.00 90.00°
Space group P4/mmm (No. 123)
One atom of each set of equivalent atoms:
Na (0.0000, 0.0000, 0.0000) x1
Ga (0.0000, 0.5000, 0.5000) x2
Hg (0.5000, 0.5000, 0.0000) x1
Au (0.0000, 0.0000, 0.5000) x1

=====

(3)
Below is a relaxed LiTlPbF6 crystal, with properties calculated at the PBE-GGA level.

**Electronic total energy**: -4.41 eV per atom
**Calculated density**: 6.12 g/cm³
**Magnetic moment**: 0.0 μB per formula unit
**N(E_F)**: 0.00 states/eV per atom

Cell: 5.5928 5.5928 5.3339 Å, 90.00 90.00 120.00°
Space group P312 (No. 149)
One atom of each set of equivalent atoms:
Li (0.0000, 0.0000, 0.0000) x1
Tl (0.3333, 0.6667, 0.0000) x1
Pb (0.6667, 0.3333, 0.5000) x1
F (0.0164, 0.3193, 0.2199) x6

=====

(4)
Below is a relaxed GdThPd2 crystal, with properties calculated at the PBE-GGA level.

**Electronic total energy**: -8.71 eV per atom
**Calculated density**: 10.79 g/cm³
**Offset from the most stable computed form**: 0.0 meV/atom
**Magnetic moment**: 7.4 μB per formula unit
**N(E_F)**: 1.00 states/eV per atom
**ΔE_f**: -735 meV/atom

Cell: 5.0845 5.0845 3.5849 Å, 90.00 90.00 90.00°
Space group P4/mmm (No. 123)
One atom of each set of equivalent atoms:
Gd (0.0000, 0.0000, 0.0000) x1
Th (0.5000, 0.5000, 0.0000) x1
Pd (0.0000, 0.5000, 0.5000) x2

=====

(5)
Below is a relaxed NbV2In crystal, with properties calculated at the PBE-GGA level.

**Electronic total energy**: -7.67 eV per atom
**Calculated density**: 7.80 g/cm³
**Magnetic moment**: 0.0 μB per formula unit
**N(E_F)**: 0.74 states/eV per atom
**ΔE_f**: 90 meV/atom

Cell: 4.3617 4.3617 3.4630 Å, 90.00 90.00 90.00°
Space group P4/mmm (No. 123)
One atom of each set of equivalent atoms:
Nb (0.0000, 0.0000, 0.0000) x1
V (0.0000, 0.5000, 0.5000) x2
In (0.5000, 0.5000, 0.0000) x1

=====

(6)
Below is a relaxed SrRe3 crystal, with properties calculated at the PBE-GGA level.

**Electronic total energy**: -9.03 eV per atom
**Calculated density**: 13.38 g/cm³
**Offset from the most stable computed form**: 0.0 meV/atom
**Magnetic moment**: 0.0 μB per formula unit
**N(E_F)**: 0.96 states/eV per atom
**ΔE_f**: 722 meV/atom

Cell: 2.8474 3.7738 7.4612 Å, 90.00 90.00 90.00°
Space group Pmmm (No. 47)
One atom of each set of equivalent atoms:
Sr (0.0000, 0.0000, 0.0000) x1
Re (0.0000, 0.0000, 0.5000) x1
Re (0.5000, 0.5000, 0.3289) x2